No. 1
The following is a DFT calculation (PBE-GGA) of crystalline MgAgF3 at its relaxed geometry.

Properties
DOS(E_F): 0.00 states/eV/atom
Uncorrected formation energy: -2.52 eV/atom

CIF file:
```
data_MgAgF3
_chemical_formula_sum 'Mg2 Ag2 F6'
_symmetry_space_group_name_H-M 'P 1'
_symmetry_Int_Tables_number 1
_symmetry_space_group_name_Hall 'P 1'
_cell_length_a 5.637
_cell_length_b 5.637
_cell_length_c 5.637
_cell_angle_alpha 59.70
_cell_angle_beta 59.70
_cell_angle_gamma 59.70
loop_
_atom_site_label
_atom_site_type_symbol
_atom_site_fract_x
_atom_site_fract_y
_atom_site_fract_z
Mg1 Mg 0.000 0.000 0.000
Mg2 Mg 0.500 0.500 0.500
Ag1 Ag 0.250 0.250 0.250
Ag2 Ag 0.750 0.750 0.750
F1 F 0.812 0.250 0.688
F2 F 0.688 0.812 0.250
F3 F 0.250 0.688 0.812
F4 F 0.312 0.188 0.750
F5 F 0.188 0.750 0.312
F6 F 0.750 0.312 0.188
```


No. 2
The following is a DFT calculation (PBE-GGA) of crystalline MgAgF3 at its relaxed geometry.

Properties
DOS(E_F): 0.47 states/eV/atom
Uncorrected formation energy: -1.34 eV/atom

CIF file:
```
data_MgAgF3
_chemical_formula_sum 'Mg1 Ag1 F3'
_symmetry_space_group_name_H-M 'P 1'
_symmetry_Int_Tables_number 1
_symmetry_space_group_name_Hall 'P 1'
_cell_length_a 4.397
_cell_length_b 4.397
_cell_length_c 4.397
_cell_angle_alpha 90.00
_cell_angle_beta 90.00
_cell_angle_gamma 90.00
loop_
_atom_site_label
_atom_site_type_symbol
_atom_site_fract_x
_atom_site_fract_y
_atom_site_fract_z
Mg1 Mg 0.500 0.500 0.500
Ag1 Ag 0.000 0.000 0.000
F1 F 0.000 0.500 0.000
F2 F 0.000 0.000 0.500
F3 F 0.500 0.000 0.000
```


No. 3
The following is a DFT calculation (PBE-GGA) of crystalline MgAg3F6 at its relaxed geometry.

Properties
DOS(E_F): 0.64 states/eV/atom
Uncorrected formation energy: -1.78 eV/atom

CIF file:
```
data_MgAg3F6
_chemical_formula_sum 'Mg2 Ag6 F12'
_symmetry_space_group_name_H-M 'P 1'
_symmetry_Int_Tables_number 1
_symmetry_space_group_name_Hall 'P 1'
_cell_length_a 5.543
_cell_length_b 5.820
_cell_length_c 8.873
_cell_angle_alpha 90.00
_cell_angle_beta 90.79
_cell_angle_gamma 90.00
loop_
_atom_site_label
_atom_site_type_symbol
_atom_site_fract_x
_atom_site_fract_y
_atom_site_fract_z
Mg1 Mg 0.500 0.500 0.500
Mg2 Mg 0.000 0.000 0.000
Ag1 Ag 0.524 0.923 0.762
Ag2 Ag 0.500 0.500 0.000
Ag3 Ag 0.476 0.077 0.238
Ag4 Ag 0.024 0.577 0.262
Ag5 Ag 0.000 0.000 0.500
Ag6 Ag 0.976 0.423 0.738
F1 F 0.710 0.188 0.931
F2 F 0.671 0.219 0.584
F3 F 0.643 0.428 0.297
F4 F 0.357 0.572 0.703
F5 F 0.329 0.781 0.416
F6 F 0.290 0.812 0.069
F7 F 0.210 0.312 0.431
F8 F 0.171 0.281 0.084
F9 F 0.143 0.072 0.797
F10 F 0.857 0.928 0.203
F11 F 0.829 0.719 0.916
F12 F 0.790 0.688 0.569
```


No. 4
The following is a DFT calculation (PBE-GGA) of crystalline MgAg7F12 at its relaxed geometry.

Properties
DOS(E_F): 0.46 states/eV/atom
Uncorrected formation energy: -1.42 eV/atom

CIF file:
```
data_MgAg7F12
_chemical_formula_sum 'Mg1 Ag7 F12'
_symmetry_space_group_name_H-M 'P 1'
_symmetry_Int_Tables_number 1
_symmetry_space_group_name_Hall 'P 1'
_cell_length_a 5.973
_cell_length_b 9.300
_cell_length_c 9.300
_cell_angle_alpha 64.45
_cell_angle_beta 77.64
_cell_angle_gamma 102.36
loop_
_atom_site_label
_atom_site_type_symbol
_atom_site_fract_x
_atom_site_fract_y
_atom_site_fract_z
Mg1 Mg 0.000 0.000 0.000
Ag1 Ag 0.084 0.322 0.094
Ag2 Ag 0.822 0.906 0.416
Ag3 Ag 0.238 0.416 0.678
Ag4 Ag 0.500 0.000 0.000
Ag5 Ag 0.762 0.584 0.322
Ag6 Ag 0.178 0.094 0.584
Ag7 Ag 0.916 0.678 0.906
F1 F 0.912 0.484 0.160
F2 F 0.928 0.840 0.645
F3 F 0.266 0.186 0.986
F4 F 0.749 0.014 0.172
F5 F 0.573 0.645 0.516
F6 F 0.920 0.172 0.814
F7 F 0.080 0.828 0.186
F8 F 0.427 0.355 0.484
F9 F 0.251 0.986 0.828
F10 F 0.734 0.814 0.014
F11 F 0.072 0.160 0.355
F12 F 0.088 0.516 0.840
```


No. 5
The following is a DFT calculation (PBE-GGA) of crystalline MgAg6F12 at its relaxed geometry.

Properties
DOS(E_F): 0.46 states/eV/atom
Uncorrected formation energy: -1.48 eV/atom

CIF file:
```
data_MgAg6F12
_chemical_formula_sum 'Mg1 Ag6 F12'
_symmetry_space_group_name_H-M 'P 1'
_symmetry_Int_Tables_number 1
_symmetry_space_group_name_Hall 'P 1'
_cell_length_a 6.718
_cell_length_b 6.718
_cell_length_c 6.718
_cell_angle_alpha 100.71
_cell_angle_beta 100.71
_cell_angle_gamma 100.71
loop_
_atom_site_label
_atom_site_type_symbol
_atom_site_fract_x
_atom_site_fract_y
_atom_site_fract_z
Mg1 Mg 0.000 0.000 0.000
Ag1 Ag 0.140 0.287 0.600
Ag2 Ag 0.713 0.400 0.860
Ag3 Ag 0.400 0.860 0.713
Ag4 Ag 0.860 0.713 0.400
Ag5 Ag 0.287 0.600 0.140
Ag6 Ag 0.600 0.140 0.287
F1 F 0.428 0.171 0.631
F2 F 0.171 0.631 0.428
F3 F 0.631 0.428 0.171
F4 F 0.572 0.829 0.369
F5 F 0.829 0.369 0.572
F6 F 0.369 0.572 0.829
F7 F 0.024 0.923 0.701
F8 F 0.299 0.976 0.077
F9 F 0.077 0.299 0.976
F10 F 0.976 0.077 0.299
F11 F 0.701 0.024 0.923
F12 F 0.923 0.701 0.024
```